# Ac2MnPbO6 GGA+U optimized geometry
data_Ac2MnPbO6
_space_group_name_H-M_alt 'C 1 2/m 1'
_space_group_IT_number 12
_cell_length_a 10.159
_cell_length_b 5.855
_cell_length_c 6.059
_cell_angle_alpha 90.00
_cell_angle_beta 122.18
_cell_angle_gamma 90.00
loop_
_space_group_symop_operation_xyz
'x,y,z'
'-x,-y,-z'
'-x,y,-z'
'x,-y,z'
'x+1/2,y+1/2,z'
'-x+1/2,-y+1/2,-z'
'-x+1/2,y+1/2,-z'
'x+1/2,-y+1/2,z'
loop_
_atom_site_label
_atom_site_fract_x
_atom_site_fract_y
_atom_site_fract_z
Ac1 0.243 0.000 0.224
Mn1 0.000 0.500 0.000
Pb1 0.000 0.000 0.500
O1 0.069 0.267 0.852
O2 0.215 0.500 0.325
# Uncorrected energy = -7.191 eV per atom
# Volume = 305.0 Å³/cell
# Density = 8.84 g cm⁻³